Here is a geometry-optimized EuZnIn2 structure from Alexandria via LeMat-Bulk. Energies are from PBE.

```
EuZnIn2
1.0
7.369 0.000 0.000
0.000 7.369 0.000
0.000 0.000 7.369
Eu Zn In
4 4 8
Direct
0.000 0.000 0.000
0.000 0.500 0.500
0.500 0.000 0.500
0.500 0.500 0.000
0.000 0.000 0.500
0.000 0.500 0.000
0.500 0.000 0.000
0.500 0.500 0.500
0.250 0.250 0.250
0.250 0.250 0.750
0.250 0.750 0.250
0.250 0.750 0.750
0.750 0.250 0.250
0.750 0.250 0.750
0.750 0.750 0.250
0.750 0.750 0.750
```

As for the density of states at the Fermi level: 1.09 states/eV/f.u. The formation energy is -0.205 eV per atom. The calculation puts the total energy at -4.461 eV/atom. As for the spin magnetization: 27.98 μB/cell.